1.
Computed, not measured: a relaxed structure of PrAlAsO at the GGA-PBE level of DFT.

It has space group Pmc2_1 (No. 26), with a = 4.0104 Å, b = 4.6877 Å, c = 7.3514 Å, α = 90.00°, β = 90.00° and γ = 90.00°. The distinct sites, in fractional coordinates, are Pr at (0.0000, 0.1963, 0.0000), Al at (0.5000, 0.3051, 0.3415), As at (0.5000, 0.2002, 0.6841) and O at (0.0000, 0.3057, 0.3440).

The density is 6.22 Mg/m³. The value obtained for the size of the total moment is 0.00 Bohr magnetons per cell. The total energy comes out at -49.10 eV for the cell shown.

***

2.
Computed, not measured: a relaxed structure of ErLuSi2Pd at the GGA-PBE level of DFT.

It has space group C2/m (No. 12), with a = 10.3693 Å, b = 4.2074 Å, c = 9.9496 Å, α = 90.00°, β = 117.65° and γ = 90.00°. The distinct sites, in fractional coordinates, are Er at (0.1860, 0.0000, 0.1063), Lu at (0.0024, 0.0000, 0.3251), Si at (0.0196, 0.5000, 0.8845), Si at (0.1315, 0.5000, 0.5661) and Pd at (0.2250, 0.5000, 0.3617).

The density is 8.72 Mg/m³. The value obtained for the size of the total moment is 1.53 Bohr magnetons per cell. The total energy comes out at -118.96 eV for the cell shown.

***

3.
Computed, not measured: a relaxed structure of SiGePd2Pt2 at the GGA-PBE level of DFT.

It has space group P4mm (No. 99), with a = 3.8091 Å, b = 3.8091 Å, c = 6.3906 Å, α = 90.00°, β = 90.00° and γ = 90.00°. The distinct sites, in fractional coordinates, are Si at (0.0000, 0.0000, 0.0000), Ge at (0.5000, 0.5000, 0.5187), Pd at (0.0000, 0.5000, 0.2496), Pt at (0.0000, 0.0000, 0.6364) and Pt at (0.5000, 0.5000, 0.8956).

The density is 12.60 Mg/m³. The value obtained for the size of the total moment is 0.00 Bohr magnetons per cell. The total energy comes out at -35.47 eV for the cell shown.